Entry 1:
Below is a relaxed TlInHg2 crystal, with properties calculated at the PBE level.

Unit cell a=7.0063 b=7.0063 c=7.0063 alpha=152.98 beta=130.76 gamma=57.06
Fractional coordinates of all 4 atoms:
Tl: 0.0000 0.0000 0.0000
In: 0.5000 0.5000 0.0000
Hg: 0.2552 0.2552 0.0000
Hg: 0.7448 0.7448 0.0000

## Properties
Its space group is Immm (71). As for the total magnetic moment: 0.0 μB per cell.

---

Entry 2:
Below is a relaxed Tl3In12Hg5 crystal, with properties calculated at the PBE level.

Unit cell a=15.1098 b=15.1098 c=15.1098 alpha=109.47 beta=109.47 gamma=109.47
Fractional coordinates of all 80 atoms:
Tl: 0.1250 0.2500 0.3750
Tl: 0.1250 0.3750 0.7500
Tl: 0.2500 0.3750 0.1250
Tl: 0.2500 0.8750 0.6250
Tl: 0.3750 0.1250 0.2500
Tl: 0.3750 0.7500 0.1250
Tl: 0.6250 0.2500 0.8750
Tl: 0.6250 0.8750 0.7500
Tl: 0.7500 0.1250 0.3750
Tl: 0.7500 0.6250 0.8750
Tl: 0.8750 0.6250 0.2500
Tl: 0.8750 0.7500 0.6250
In: 0.0592 0.2261 0.1345
In: 0.0592 0.3332 0.9247
In: 0.0753 0.6345 0.4085
In: 0.0753 0.9408 0.6668
In: 0.0915 0.7261 0.6668
In: 0.0915 0.8655 0.4247
In: 0.1345 0.0592 0.2261
In: 0.1345 0.5753 0.9085
In: 0.1668 0.2261 0.5915
In: 0.1668 0.4408 0.5753
In: 0.2261 0.1345 0.0592
In: 0.2261 0.5915 0.1668
In: 0.2739 0.3332 0.9085
In: 0.2739 0.4408 0.3655
In: 0.3332 0.9085 0.2739
In: 0.3332 0.9247 0.0592
In: 0.3655 0.2739 0.4408
In: 0.3655 0.5915 0.9247
In: 0.4085 0.0753 0.6345
In: 0.4085 0.8332 0.7739
In: 0.4247 0.0915 0.8655
In: 0.4247 0.8332 0.5592
In: 0.4408 0.3655 0.2739
In: 0.4408 0.5753 0.1668
In: 0.5592 0.4247 0.8332
In: 0.5592 0.6345 0.7261
In: 0.5753 0.1668 0.4408
In: 0.5753 0.9085 0.1345
In: 0.5915 0.1668 0.2261
In: 0.5915 0.9247 0.3655
In: 0.6345 0.4085 0.0753
In: 0.6345 0.7261 0.5592
In: 0.6668 0.0753 0.9408
In: 0.6668 0.0915 0.7261
In: 0.7261 0.5592 0.6345
In: 0.7261 0.6668 0.0915
In: 0.7739 0.4085 0.8332
In: 0.7739 0.8655 0.9408
In: 0.8332 0.5592 0.4247
In: 0.8332 0.7739 0.4085
In: 0.8655 0.4247 0.0915
In: 0.8655 0.9408 0.7739
In: 0.9085 0.1345 0.5753
In: 0.9085 0.2739 0.3332
In: 0.9247 0.0592 0.3332
In: 0.9247 0.3655 0.5915
In: 0.9408 0.6668 0.0753
In: 0.9408 0.7739 0.8655
Hg: 0.0000 0.0000 0.0000
Hg: 0.0000 0.0000 0.5000
Hg: 0.0000 0.5000 0.0000
Hg: 0.0000 0.5000 0.5000
Hg: 0.1250 0.7500 0.8750
Hg: 0.1250 0.8750 0.2500
Hg: 0.2500 0.1250 0.8750
Hg: 0.2500 0.6250 0.3750
Hg: 0.3750 0.2500 0.6250
Hg: 0.3750 0.6250 0.7500
Hg: 0.5000 0.0000 0.0000
Hg: 0.5000 0.0000 0.5000
Hg: 0.5000 0.5000 0.0000
Hg: 0.5000 0.5000 0.5000
Hg: 0.6250 0.3750 0.2500
Hg: 0.6250 0.7500 0.3750
Hg: 0.7500 0.3750 0.6250
Hg: 0.7500 0.8750 0.1250
Hg: 0.8750 0.1250 0.7500
Hg: 0.8750 0.2500 0.1250

## Properties
Its space group is Ia-3d (230). As for the total magnetic moment: 0.0 μB per cell.

---

Entry 3:
Below is a relaxed TlIn6Hg4 crystal, with properties calculated at the PBE level.

Unit cell a=8.8393 b=8.8393 c=4.5544 alpha=90.00 beta=90.00 gamma=120.00
Fractional coordinates of all 11 atoms:
Tl: 0.0000 0.0000 0.0000
In: 0.1967 0.3934 0.5000
In: 0.1967 0.8033 0.5000
In: 0.5347 0.0694 0.0000
In: 0.5347 0.4653 0.0000
In: 0.6066 0.8033 0.5000
In: 0.9306 0.4653 0.0000
Hg: 0.3333 0.6667 0.0000
Hg: 0.3777 0.1888 0.5000
Hg: 0.8112 0.1888 0.5000
Hg: 0.8112 0.6223 0.5000

## Properties
Its polymorph energy (0 for the lowest one) is 0.0000 eV per atom. Its space group is P-6m2 (187). As for the total magnetic moment: 0.0 μB per cell.

---

Entry 4:
Below is a relaxed Tl3In2Hg crystal, with properties calculated at the PBE level.

Unit cell a=7.3125 b=3.4355 c=13.7617 alpha=90.00 beta=93.07 gamma=90.00
Fractional coordinates of all 12 atoms:
Tl: 0.1080 0.2500 0.2323
Tl: 0.1592 0.2500 0.9365
Tl: 0.3591 0.7500 0.4156
Tl: 0.6409 0.2500 0.5844
Tl: 0.8408 0.7500 0.0635
Tl: 0.8920 0.7500 0.7677
In: 0.1148 0.2500 0.5877
In: 0.4101 0.7500 0.1061
In: 0.5899 0.2500 0.8939
In: 0.8852 0.7500 0.4123
Hg: 0.3688 0.7500 0.7334
Hg: 0.6312 0.2500 0.2666

## Properties
Its space group is P2_1/m (11). As for the total magnetic moment: 0.0 μB per cell.

---

Entry 5:
Below is a relaxed TlInHg crystal, with properties calculated at the PBE level.

Unit cell a=3.5261 b=5.7667 c=8.6386 alpha=77.61 beta=83.71 gamma=84.68
Fractional coordinates of all 6 atoms:
Tl: 0.0000 0.0000 0.0000
Tl: 0.3786 0.9392 0.3523
In: 0.3322 0.5000 0.7555
In: 0.9191 0.4355 0.4318
Hg: 0.5216 0.4819 0.1046
Hg: 0.6973 0.9806 0.6768

## Properties
Its space group is P1 (1). As for the total magnetic moment: 0.0 μB per cell.

---

Entry 6:
Below is a relaxed Tl4In2Hg5 crystal, with properties calculated at the PBE level.

Unit cell a=8.1880 b=3.4293 c=11.2817 alpha=90.00 beta=96.28 gamma=90.00
Fractional coordinates of all 11 atoms:
Tl: 0.1534 0.0000 0.4012
Tl: 0.2979 0.0000 0.9443
Tl: 0.7021 0.0000 0.0557
Tl: 0.8466 0.0000 0.5988
In: 0.0581 0.5000 0.1381
In: 0.9419 0.5000 0.8619
Hg: 0.2050 0.5000 0.6724
Hg: 0.4289 0.5000 0.2130
Hg: 0.5000 0.5000 0.5000
Hg: 0.5711 0.5000 0.7870
Hg: 0.7950 0.5000 0.3276

## Properties
Its polymorph energy (0 for the lowest one) is 0.0000 eV per atom. Its space group is P2/m (10). As for the total magnetic moment: 0.0 μB per cell.

---

Entry 7:
Below is a relaxed Tl2InHg8 crystal, with properties calculated at the PBE level.

Unit cell a=5.2751 b=5.2751 c=11.3818 alpha=90.00 beta=90.00 gamma=90.00
Fractional coordinates of all 11 atoms:
Tl: 0.0000 0.0000 0.1761
Tl: 0.0000 0.0000 0.8239
In: 0.0000 0.0000 0.5000
Hg: 0.0000 0.5000 0.0000
Hg: 0.0000 0.5000 0.3560
Hg: 0.0000 0.5000 0.6440
Hg: 0.5000 0.0000 0.0000
Hg: 0.5000 0.0000 0.3560
Hg: 0.5000 0.0000 0.6440
Hg: 0.5000 0.5000 0.1847
Hg: 0.5000 0.5000 0.8153

## Properties
Its space group is P4/mmm (123). As for the total magnetic moment: 0.0 μB per cell.

---

Entry 8:
Below is a relaxed TlIn3Hg crystal, with properties calculated at the PBE level.

Unit cell a=8.3811 b=7.0068 c=11.2113 alpha=90.00 beta=123.42 gamma=90.00
Fractional coordinates of all 20 atoms:
Tl: 0.0944 0.1241 0.1519
Tl: 0.0944 0.3759 0.6519
Tl: 0.9056 0.6241 0.3481
Tl: 0.9056 0.8759 0.8481
In: 0.1029 0.6201 0.1546
In: 0.1029 0.8799 0.6546
In: 0.3112 0.1335 0.9567
In: 0.3112 0.3665 0.4567
In: 0.4955 0.6214 0.7475
In: 0.4955 0.8786 0.2475
In: 0.5045 0.1214 0.7525
In: 0.5045 0.3786 0.2525
In: 0.6888 0.6335 0.5433
In: 0.6888 0.8665 0.0433
In: 0.8971 0.1201 0.3454
In: 0.8971 0.3799 0.8454
Hg: 0.3077 0.6275 0.9575
Hg: 0.3077 0.8725 0.4575
Hg: 0.6923 0.1275 0.5425
Hg: 0.6923 0.3725 0.0425

## Properties
Its polymorph energy (0 for the lowest one) is 0.0000 eV per atom. Its space group is P2_1/c (14). As for the total magnetic moment: 0.0 μB per cell.

---

Entry 9:
Below is a relaxed Tl5In2Hg2 crystal, with properties calculated at the PBE level.

Unit cell a=7.7634 b=7.7634 c=7.7837 alpha=108.02 beta=108.02 gamma=35.77
Fractional coordinates of all 9 atoms:
Tl: 0.0000 0.0000 0.0000
Tl: 0.1162 0.1162 0.6735
Tl: 0.4373 0.4373 0.6658
Tl: 0.5627 0.5627 0.3342
Tl: 0.8838 0.8838 0.3265
In: 0.2230 0.2230 0.3187
In: 0.7770 0.7770 0.6813
Hg: 0.3326 0.3326 0.0038
Hg: 0.6674 0.6674 0.9962

## Properties
Its polymorph energy (0 for the lowest one) is 0.0000 eV per atom. Its space group is C2/m (12). As for the total magnetic moment: 0.0 μB per cell.

---

Entry 10:
Below is a relaxed Tl2In4Hg3 crystal, with properties calculated at the PBE level.

Unit cell a=8.9414 b=8.9414 c=9.1256 alpha=90.00 beta=90.00 gamma=135.27
Fractional coordinates of all 18 atoms:
Tl: 0.1015 0.8985 0.9154
Tl: 0.3985 0.6015 0.4154
Tl: 0.6015 0.3985 0.5846
Tl: 0.8985 0.1015 0.0846
In: 0.1822 0.8178 0.5152
In: 0.1915 0.3085 0.7500
In: 0.3085 0.1915 0.2500
In: 0.3178 0.6822 0.0152
In: 0.6822 0.3178 0.9848
In: 0.6915 0.8085 0.7500
In: 0.8085 0.6915 0.2500
In: 0.8178 0.1822 0.4848
Hg: 0.0000 0.0000 0.5000
Hg: 0.0102 0.4898 0.7500
Hg: 0.4898 0.0102 0.2500
Hg: 0.5000 0.5000 0.0000
Hg: 0.5102 0.9898 0.7500
Hg: 0.9898 0.5102 0.2500

## Properties
Its polymorph energy (0 for the lowest one) is 0.0000 eV per atom. Its space group is Cmce (64). As for the total magnetic moment: 0.0 μB per cell.

---

Entry 11:
Below is a relaxed TlInHg crystal, with properties calculated at the PBE level.

Unit cell a=3.5826 b=5.4553 c=9.2294 alpha=105.79 beta=97.26 gamma=91.05
Fractional coordinates of all 6 atoms:
Tl: 0.0000 0.0000 0.0000
Tl: 0.2751 0.3589 0.7126
In: 0.1223 0.5398 0.3588
In: 0.6100 0.0517 0.3527
Hg: 0.5382 0.5323 0.0696
Hg: 0.7394 0.8290 0.6435

## Properties
Its space group is P1 (1). As for the total magnetic moment: 0.0 μB per cell.

---

Entry 12:
Below is a relaxed Tl3In4Hg8 crystal, with properties calculated at the PBE level.

Unit cell a=8.9297 b=8.9297 c=6.6247 alpha=111.75 beta=111.75 gamma=87.61
Fractional coordinates of all 15 atoms:
Tl: 0.0000 0.0000 0.0000
Tl: 0.0000 0.5000 0.0000
Tl: 0.5000 0.0000 0.0000
In: 0.0000 0.5000 0.5000
In: 0.5000 0.0000 0.5000
In: 0.5000 0.5000 0.0000
In: 0.5000 0.5000 0.5000
Hg: 0.2436 0.7564 0.5000
Hg: 0.2449 0.2449 0.9785
Hg: 0.2490 0.2490 0.5012
Hg: 0.2566 0.7434 0.0000
Hg: 0.7434 0.2566 0.0000
Hg: 0.7510 0.7510 0.4988
Hg: 0.7551 0.7551 0.0215
Hg: 0.7564 0.2436 0.5000

## Properties
Its polymorph energy (0 for the lowest one) is 0.0000 eV per atom. Its space group is C2/m (12). As for the total magnetic moment: 0.0 μB per cell.

---

Record-wise ΔH_f (0 K) values, in eV/f.u.: 0.091 3.110 0.188 0.134 0.058 0.081 -0.034 0.097 0.231 0.122 0.023 0.478